[1]
KZrIn: relaxed, GGA-PBE.

Values from the calculation:
**Energy above the lowest structure with this stoichiometry**: 0.101 eV per atom
**Size of the total moment**: 0.0 μB per formula unit
**Electronic total energy**: -4.08 eV/atom
**Formation enthalpy at 0 K**: 0.049 eV per atom

Lattice parameters (Å, degrees): 3.810 4.625 12.874 89.22 81.80 89.99
Positions (direct):
K (0.000, 0.000, 0.000)
K (0.339, 0.500, 0.301)
Zr (0.122, 0.511, 0.749)
Zr (0.710, 0.518, 0.567)
In (0.218, 0.018, 0.550)
In (0.621, 0.011, 0.752)

[2]
PIrF2: relaxed, GGA-PBE.

Values from the calculation:
**ΔE_f (raw)**: -0.417 eV/atom
**Energy above the lowest structure with this stoichiometry**: 0.267 eV per atom
**Size of the total moment**: 0.0 μB per formula unit
**Electronic total energy**: -4.92 eV/atom

Lattice parameters (Å, degrees): 8.385 8.385 8.385 156.11 156.11 34.04
Positions (direct):
P (0.000, 0.000, 0.000)
P (0.750, 0.250, 0.500)
Ir (0.250, 0.750, 0.500)
Ir (0.500, 0.500, 0.000)
F (0.131, 0.625, 0.006)
F (0.375, 0.381, 0.506)
F (0.619, 0.125, 0.994)
F (0.875, 0.869, 0.494)

[3]
AlZn2Ag3: relaxed, GGA-PBE.

Values from the calculation:
**Energy above the lowest structure with this stoichiometry**: 0.000 eV per atom
**Size of the total moment**: 0.0 μB per formula unit
**Electronic total energy**: -2.51 eV/atom
**Formation enthalpy at 0 K**: -0.034 eV per atom

Lattice parameters (Å, degrees): 3.161 3.161 9.764 90.00 90.00 90.00
Positions (direct):
Al (0.000, 0.000, 0.000)
Zn (0.000, 0.000, 0.338)
Zn (0.000, 0.000, 0.662)
Ag (0.500, 0.500, 0.168)
Ag (0.500, 0.500, 0.500)
Ag (0.500, 0.500, 0.832)

[4]
La2ThTl3Te6: relaxed, GGA-PBE.

Values from the calculation:
**ΔE_f (raw)**: -1.037 eV/atom
**Size of the total moment**: 0.0 μB per formula unit
**Electronic total energy**: -4.64 eV/atom

Lattice parameters (Å, degrees): 7.916 7.916 8.688 98.73 98.73 119.97
Positions (direct):
La (0.166, 0.834, 0.000)
La (0.834, 0.166, 0.000)
Th (0.500, 0.500, 0.000)
Tl (0.000, 0.000, 0.500)
Tl (0.331, 0.669, 0.500)
Tl (0.669, 0.331, 0.500)
Te (0.101, 0.426, 0.777)
Te (0.252, 0.252, 0.226)
Te (0.426, 0.101, 0.777)
Te (0.574, 0.899, 0.223)
Te (0.748, 0.748, 0.774)
Te (0.899, 0.574, 0.223)

[5]
La2PtBr: relaxed, GGA-PBE.

Values from the calculation:
**ΔE_f (raw)**: -0.998 eV/atom
**Energy above the lowest structure with this stoichiometry**: 0.352 eV per atom
**Size of the total moment**: 0.0 μB per formula unit
**Electronic total energy**: -5.39 eV/atom

Lattice parameters (Å, degrees): 6.916 6.916 6.916 110.67 110.67 107.10
Positions (direct):
La (0.097, 0.125, 0.472)
La (0.375, 0.903, 0.028)
La (0.653, 0.625, 0.528)
La (0.875, 0.347, 0.972)
Pt (0.000, 0.000, 0.000)
Pt (0.750, 0.250, 0.500)
Br (0.250, 0.750, 0.500)
Br (0.500, 0.500, 0.000)

[6]
SrMg3P: relaxed, GGA-PBE.

Values from the calculation:
**Energy above the lowest structure with this stoichiometry**: 0.000 eV per atom
**Size of the total moment**: 0.0 μB per formula unit
**Electronic total energy**: -2.43 eV/atom
**Formation enthalpy at 0 K**: -0.060 eV per atom

Lattice parameters (Å, degrees): 5.195 5.195 5.195 90.00 90.00 90.00
Positions (direct):
Sr (0.000, 0.000, 0.000)
Mg (0.000, 0.500, 0.500)
Mg (0.500, 0.000, 0.500)
Mg (0.500, 0.500, 0.000)
P (0.500, 0.500, 0.500)

[7]
Tc2IrAu: relaxed, GGA-PBE.

Values from the calculation:
**Energy above the lowest structure with this stoichiometry**: 0.248 eV per atom
**Size of the total moment**: 0.0 μB per formula unit
**Electronic total energy**: -7.86 eV/atom
**Formation enthalpy at 0 K**: 0.353 eV per atom

Lattice parameters (Å, degrees): 5.606 5.606 5.606 151.43 130.40 58.24
Positions (direct):
Tc (0.000, 0.000, 0.000)
Tc (0.779, 0.279, 0.500)
Ir (0.555, 0.555, 0.000)
Au (0.285, 0.785, 0.500)

[8]
ReAs2IBr: relaxed, GGA-PBE.

Values from the calculation:
**ΔE_f (raw)**: 0.444 eV/atom
**Energy above the lowest structure with this stoichiometry**: 0.000 eV per atom
**Size of the total moment**: 0.0 μB per formula unit
**Electronic total energy**: -4.55 eV/atom

Lattice parameters (Å, degrees): 4.880 4.880 5.201 90.00 90.00 90.00
Positions (direct):
Re (0.000, 0.000, 0.000)
As (0.000, 0.500, 0.000)
As (0.500, 0.000, 0.000)
I (0.500, 0.500, 0.500)
Br (0.000, 0.000, 0.500)